Record 1
The following is a DFT calculation (GGA-PBE) of a geometry-optimized TmMo6 structure.

Results
SG = Im-3m, No. 229
Total moment = 0.000 μB per cell
ΔH_f (0 K) = 1.549 eV/atom
Crystal system = cubic

a = 5.995 Å, b = 5.995 Å, c = 5.995 Å
α = 109.47°, β = 109.47°, γ = 109.47°
Fractional coordinates of all 7 atoms:
Tm 0.000 0.000 0.000
Mo 0.250 0.500 0.750
Mo 0.250 0.750 0.500
Mo 0.500 0.250 0.750
Mo 0.500 0.750 0.250
Mo 0.750 0.250 0.500
Mo 0.750 0.500 0.250

Record 2
The following is a DFT calculation (GGA-PBE) of a geometry-optimized Tm4Mo structure.

Results
SG = Pm-3m, No. 221
Total moment = 0.000 μB per cell
ΔH_f (0 K) = 0.392 eV/atom
Crystal system = cubic

a = 5.334 Å, b = 5.334 Å, c = 5.334 Å
α = 90.00°, β = 90.00°, γ = 90.00°
Fractional coordinates of all 5 atoms:
Tm 0.000 0.000 0.000
Tm 0.000 0.500 0.500
Tm 0.500 0.000 0.500
Tm 0.500 0.500 0.000
Mo 0.500 0.500 0.500

Record 3
The following is a DFT calculation (GGA-PBE) of a geometry-optimized TmMo4 structure.

Results
SG = Pm-3m, No. 221
Total moment = 0.000 μB per cell
ΔH_f (0 K) = 2.556 eV/atom
Crystal system = cubic

a = 4.668 Å, b = 4.668 Å, c = 4.668 Å
α = 90.00°, β = 90.00°, γ = 90.00°
Fractional coordinates of all 5 atoms:
Tm 0.000 0.000 0.000
Mo 0.000 0.000 0.500
Mo 0.000 0.500 0.000
Mo 0.500 0.000 0.000
Mo 0.500 0.500 0.500

Record 4
The following is a DFT calculation (GGA-PBE) of a geometry-optimized TmMo5 structure.

Results
SG = Cmmm, No. 65
Total moment = 0.000 μB per cell
ΔH_f (0 K) = 0.182 eV/atom
Crystal system = orthorhombic

a = 7.216 Å, b = 7.216 Å, c = 3.209 Å
α = 90.00°, β = 90.00°, γ = 142.21°
Fractional coordinates of all 6 atoms:
Tm 0.000 0.000 0.000
Mo 0.177 0.823 0.500
Mo 0.332 0.668 0.000
Mo 0.500 0.500 0.500
Mo 0.668 0.332 0.000
Mo 0.823 0.177 0.500

Record 5
The following is a DFT calculation (GGA-PBE) of a geometry-optimized TmUMo structure.

Results
SG = I4/mmm, No. 139
Total moment = 0.001 μB per cell
ΔH_f (0 K) = 0.439 eV/atom
Crystal system = tetragonal

a = 12.337 Å, b = 12.337 Å, c = 12.337 Å
α = 164.04°, β = 164.04°, γ = 22.65°
Fractional coordinates of all 6 atoms:
Tm 0.073 0.073 0.000
Tm 0.927 0.927 0.000
U 0.340 0.340 0.000
U 0.660 0.660 0.000
Mo 0.210 0.210 0.000
Mo 0.790 0.790 0.000

Record 6
The following is a DFT calculation (GGA-PBE) of a geometry-optimized TmUMo4 structure.

Results
SG = F-43m, No. 216
Total moment = 1.554 μB per cell
ΔH_f (0 K) = 0.235 eV/atom
Crystal system = cubic

a = 5.469 Å, b = 5.469 Å, c = 5.469 Å
α = 60.00°, β = 60.00°, γ = 60.00°
Fractional coordinates of all 6 atoms:
Tm 0.000 0.000 0.000
U 0.750 0.750 0.750
Mo 0.375 0.375 0.375
Mo 0.375 0.375 0.875
Mo 0.375 0.875 0.375
Mo 0.875 0.375 0.375

Record 7
The following is a DFT calculation (GGA-PBE) of a geometry-optimized TmV4Mo structure.

Results
SG = F-43m, No. 216
Total moment = 0.000 μB per cell
ΔH_f (0 K) = 0.197 eV/atom
Crystal system = cubic

a = 5.129 Å, b = 5.129 Å, c = 5.129 Å
α = 60.00°, β = 60.00°, γ = 60.00°
Fractional coordinates of all 6 atoms:
Tm 0.000 0.000 0.000
V 0.124 0.625 0.625
V 0.625 0.124 0.625
V 0.625 0.625 0.124
V 0.625 0.625 0.625
Mo 0.250 0.250 0.250

Record 8
The following is a DFT calculation (GGA-PBE) of a geometry-optimized TmV2Mo structure.

Results
SG = P4/mmm, No. 123
Total moment = 0.690 μB per cell
ΔH_f (0 K) = 0.193 eV/atom
Crystal system = tetragonal

a = 3.175 Å, b = 3.175 Å, c = 6.994 Å
α = 90.00°, β = 90.00°, γ = 90.00°
Fractional coordinates of all 4 atoms:
Tm 0.000 0.000 0.000
V 0.500 0.500 0.305
V 0.500 0.500 0.695
Mo 0.000 0.000 0.500

Record 9
The following is a DFT calculation (GGA-PBE) of a geometry-optimized TmV2Mo structure.

Results
SG = R-3m, No. 166
Total moment = 0.000 μB per cell
ΔH_f (0 K) = 0.424 eV/atom
Crystal system = trigonal

a = 8.880 Å, b = 8.880 Å, c = 8.880 Å
α = 19.92°, β = 19.92°, γ = 19.92°
Fractional coordinates of all 4 atoms:
Tm 0.000 0.000 0.000
V 0.237 0.237 0.237
V 0.763 0.763 0.763
Mo 0.500 0.500 0.500

Record 10
The following is a DFT calculation (GGA-PBE) of a geometry-optimized YTmMo4 structure.

Results
SG = F-43m, No. 216
Total moment = 0.000 μB per cell
ΔH_f (0 K) = 0.069 eV/atom
Crystal system = cubic

a = 5.509 Å, b = 5.509 Å, c = 5.509 Å
α = 60.00°, β = 60.00°, γ = 60.00°
Fractional coordinates of all 6 atoms:
Y 0.000 0.000 0.000
Tm 0.250 0.250 0.250
Mo 0.125 0.625 0.625
Mo 0.625 0.125 0.625
Mo 0.625 0.625 0.125
Mo 0.625 0.625 0.625

Record 11
The following is a DFT calculation (GGA-PBE) of a geometry-optimized YTmMo structure.

Results
SG = C2/m, No. 12
Total moment = 0.000 μB per cell
ΔH_f (0 K) = 0.243 eV/atom
Crystal system = monoclinic

a = 6.626 Å, b = 6.626 Å, c = 5.957 Å
α = 95.67°, β = 95.67°, γ = 38.35°
Fractional coordinates of all 6 atoms:
Y 0.149 0.149 0.365
Y 0.851 0.851 0.635
Tm 0.426 0.426 0.223
Tm 0.574 0.574 0.777
Mo 0.253 0.253 0.891
Mo 0.747 0.747 0.109

Record 12
The following is a DFT calculation (GGA-PBE) of a geometry-optimized TmZn4Mo structure.

Results
SG = F-43m, No. 216
Total moment = 2.186 μB per cell
ΔH_f (0 K) = -0.090 eV/atom
Crystal system = cubic

a = 5.175 Å, b = 5.175 Å, c = 5.175 Å
α = 60.00°, β = 60.00°, γ = 60.00°
Fractional coordinates of all 6 atoms:
Tm 0.000 0.000 0.000
Zn 0.129 0.624 0.624
Zn 0.624 0.129 0.624
Zn 0.624 0.624 0.129
Zn 0.624 0.624 0.624
Mo 0.250 0.250 0.250

Record 13
The following is a DFT calculation (GGA-PBE) of a geometry-optimized TmZrZnMo structure.

Results
SG = F-43m, No. 216
Total moment = 0.000 μB per cell
ΔH_f (0 K) = -0.025 eV/atom
Crystal system = cubic

a = 4.817 Å, b = 4.817 Å, c = 4.817 Å
α = 60.00°, β = 60.00°, γ = 60.00°
Fractional coordinates of all 4 atoms:
Tm 0.000 0.000 0.000
Zr 0.500 0.500 0.500
Zn 0.250 0.250 0.250
Mo 0.750 0.750 0.750

Record 14
The following is a DFT calculation (GGA-PBE) of a geometry-optimized UMo structure.

Results
SG = Pnma, No. 62
Total moment = 0.000 μB per cell
ΔH_f (0 K) = 0.123 eV/atom
Crystal system = orthorhombic

a = 10.507 Å, b = 4.767 Å, c = 2.894 Å
α = 90.00°, β = 90.00°, γ = 90.00°
Fractional coordinates of all 8 atoms:
U 0.203 0.250 0.041
U 0.297 0.750 0.541
U 0.703 0.250 0.459
U 0.797 0.750 0.959
Mo 0.040 0.750 0.729
Mo 0.460 0.250 0.229
Mo 0.540 0.750 0.771
Mo 0.960 0.250 0.271